# 1
Below is crystalline Nb3BiAu at its relaxed geometry, with properties calculated at the PBE level.

Properties
Space-group type: Pm-3m
Energy relative to the lowest polymorph listed for this composition, meV/atom: 643
DOS at the Fermi energy, states/eV/f.u.: 6.43
Calculated volume, Å³ per atom: 26.94
Energy of formation, eV per formula unit: 9.6
Total magnetization, μB per formula unit: 0.00

abc: 5.126 5.126 5.126
angles: 90.00 90.00 90.00
Fractional coordinates of all 5 atoms:
1 Nb 0.000 0.000 0.500
2 Nb 0.000 0.500 0.000
3 Nb 0.500 0.000 0.000
4 Bi 0.000 0.000 0.000
5 Au 0.500 0.500 0.500

***

# 2
Below is crystalline Ba4AgSb3O12 at its relaxed geometry, with properties calculated at the PBE level.

Properties
Space-group type: Im-3m
DOS at the Fermi energy, states/eV/f.u.: 3.11
Calculated volume, Å³ per atom: 15.17
Total magnetization, μB per formula unit: 0.00
Raw formation energy, eV per atom: -1.953

abc: 7.333 7.333 7.333
angles: 109.47 109.47 109.47
Fractional coordinates of all 20 atoms:
1 Ba 0.000 0.000 0.500
2 Ba 0.000 0.500 0.000
3 Ba 0.500 0.000 0.000
4 Ba 0.500 0.500 0.500
5 Ag 0.000 0.000 0.000
6 Sb 0.000 0.500 0.500
7 Sb 0.500 0.000 0.500
8 Sb 0.500 0.500 0.000
9 O 0.000 0.272 0.272
10 O 0.000 0.728 0.728
11 O 0.250 0.500 0.750
12 O 0.250 0.750 0.500
13 O 0.272 0.000 0.272
14 O 0.272 0.272 0.000
15 O 0.500 0.250 0.750
16 O 0.500 0.750 0.250
17 O 0.728 0.000 0.728
18 O 0.728 0.728 0.000
19 O 0.750 0.250 0.500
20 O 0.750 0.500 0.250

***

# 3
Below is crystalline HgPt2Cl at its relaxed geometry, with properties calculated at the PBE level.

Properties
Space-group type: Fm-3m
Energy relative to the lowest polymorph listed for this composition, meV/atom: 437
DOS at the Fermi energy, states/eV/f.u.: 7.56
Calculated volume, Å³ per atom: 18.00
Total magnetization, μB per formula unit: 0.00
Raw formation energy, eV per atom: 0.546

abc: 4.670 4.670 4.670
angles: 60.00 60.00 60.00
Fractional coordinates of all 4 atoms:
1 Hg 0.000 0.000 0.000
2 Pt 0.250 0.250 0.250
3 Pt 0.750 0.750 0.750
4 Cl 0.500 0.500 0.500